Entry from the Alexandria database: a relaxed BaZr2Cr crystal (PBE).

Properties
As for the density of states at the Fermi level: 5.52 states/eV per cell. As for the energy relative to the lowest polymorph listed for this composition: 446 meV/atom. As for the total energy: -25.31 eV for the cell shown. The calculation puts the volume at 25.88 Å³/atom. Its space-group type is C2/m, No. 12. The formation energy is 0.83 eV per atom.

a b c (Å): 5.6239 6.5494 3.2175
angles (deg): 76.87 87.54 114.76
With the nearest neighbours (Å) after each atom.
Fractional coordinates of all 4 atoms:
Ba 0.0000 0.5000 0.5000  4 Cr 3.18-3.30, 2 Ba 3.22, 4 Zr 3.30
Zr 0.5000 0.0000 0.5000  6 Zr 3.18-3.30, 2 Cr 3.30, 2 Ba 3.30
Zr 0.0000 0.0000 0.0000  6 Zr 3.18-3.30, 2 Ba 3.30, 2 Cr 3.30
Cr 0.5000 0.5000 0.0000  4 Ba 3.18-3.30, 2 Cr 3.22, 4 Zr 3.30


Entry from the Alexandria database: a relaxed BaZrCr3 crystal (PBE).

Properties
As for the density of states at the Fermi level: 7.95 states/eV per cell. As for the energy relative to the lowest polymorph listed for this composition: 0 meV/atom. As for the total energy: -33.19 eV for the cell shown. The calculation puts the volume at 27.38 Å³/atom. Its space-group type is Pm-3m, No. 221. The formation energy is 1.23 eV per atom.

a b c (Å): 5.1540 5.1540 5.1540
angles (deg): 90.00 90.00 90.00
With the nearest neighbours (Å) after each atom.
Fractional coordinates of all 5 atoms:
Cr 0.0000 0.5000 0.0000  2 Zr 2.58
Cr 0.0000 0.0000 0.5000  2 Zr 2.58
Cr 0.5000 0.0000 0.0000  2 Zr 2.58
Ba 0.5000 0.5000 0.5000  12 Cr 3.64
Zr 0.0000 0.0000 0.0000  6 Cr 2.58


Entry from the Alexandria database: a relaxed BaZr2Cr crystal (PBE).

Properties
As for the density of states at the Fermi level: 5.08 states/eV per cell. As for the energy relative to the lowest polymorph listed for this composition: 410 meV/atom. As for the total energy: -25.46 eV for the cell shown. The calculation puts the volume at 25.50 Å³/atom. Its space-group type is P2/m, No. 10. The formation energy is 0.80 eV per atom.

a b c (Å): 3.3754 5.5003 7.1423
angles (deg): 50.29 90.00 90.00
With the nearest neighbours (Å) after each atom.
Fractional coordinates of all 4 atoms:
Zr 0.5000 0.5000 0.0000  6 Zr 3.23-3.38, 4 Cr 3.26, 2 Ba 3.57
Zr 0.0000 0.0000 0.0000  6 Zr 3.23-3.38, 4 Ba 3.26, 2 Cr 3.57
Ba 0.5000 0.5000 0.5000  4 Cr 3.23, 6 Zr 3.26-3.57, 2 Ba 3.38
Cr 0.0000 0.0000 0.5000  4 Ba 3.23, 6 Zr 3.26-3.57, 2 Cr 3.38


Entry from the Alexandria database: a relaxed BaZr2Cr crystal (PBE).

Properties
As for the density of states at the Fermi level: 5.39 states/eV per cell. As for the energy relative to the lowest polymorph listed for this composition: 128 meV/atom. As for the total energy: -26.59 eV for the cell shown. The calculation puts the volume at 26.86 Å³/atom. Its space-group type is P4mm, No. 99. The formation energy is 0.51 eV per atom.

a b c (Å): 3.4066 3.4066 9.2584
angles (deg): 90.00 90.00 90.04
With the nearest neighbours (Å) after each atom.
Fractional coordinates of all 4 atoms:
Zr 0.0000 0.0000 0.9744  4 Cr 2.86-2.87, 4 Zr 3.12
Zr 0.5000 0.5000 0.1889  8 Zr 3.12-3.41
Ba 0.0000 0.0000 0.5300  4 Ba 3.41, 4 Cr 3.52
Cr 0.5000 0.5000 0.8067  4 Zr 2.86-2.87